Compound: Dy2Tm3In
Source: Alexandria
Functional: GGA-PBE
Structure: optimized geometry

a = 15.3287 Å, b = 9.3732 Å, c = 5.3664 Å
α = 90.00°, β = 90.00°, γ = 90.00°
Space group Cmcm (No. 63)
Inequivalent atoms, fractional coordinates:
Dy 0.1023 0.1121 0.2500 [8 per cell]
Tm 0.0000 0.4188 0.2500 [4 per cell]
Tm 0.2452 0.3778 0.2500 [8 per cell]
In 0.0000 0.2285 0.7500 [4 per cell]

Properties
M_tot: 0.00 μB per formula unit
Formation energy from the elements: 233 meV/atom
Volume: 192.8 Å³/f.u.
Polymorph energy (0 for the lowest one): 38.0 kJ/mol of atoms